{
  "formula": "Na3HfB2O6",
  "functional": "PBE-GGA",
  "state": "optimized geometry",
  "lattice": [[-4.632, -1.173, 2.136], [3.934, -3.445, 0.227], [2.148, 2.863, 6.233]],
  "species": ["O", "O", "O", "O", "O", "O", "Na", "Na", "Na", "B", "B", "Hf"],
  "frac_coords": [[0.638, 0.819, 0.323], [0.362, 0.181, 0.677], [0.181, 0.362, 0.323], [0.819, 0.638, 0.677], [0.819, 0.181, 0.677], [0.181, 0.819, 0.323], [0.667, 0.333, 0.252], [0.333, 0.667, 0.748], [0.000, 0.000, 0.000], [0.333, 0.667, 0.320], [0.667, 0.333, 0.680], [0.000, 0.000, 0.500]],
  "mass_density_kg_m3": 3555,
  "e_form_raw_mev_per_atom": -2336,
  "total_magnetization_mub_per_fu": 0.31
}